A.
Density functional theory data (PBE-GGA) for a relaxed Sc2TiSi2 crystal.

Properties
magnetization: 1.08 μB per formula unit
DOS at the Fermi energy: 10.18 states/eV per cell

a b c (Å): 6.811 6.811 3.893
angles (deg): 90.00 90.00 90.00
Fractional coordinates of all 10 atoms:
Sc 0.175 0.325 0.000
Sc 0.325 0.825 0.000
Sc 0.675 0.175 0.000
Sc 0.825 0.675 0.000
Ti 0.000 0.000 0.500
Ti 0.500 0.500 0.500
Si 0.127 0.627 0.500
Si 0.373 0.127 0.500
Si 0.627 0.873 0.500
Si 0.873 0.373 0.500

***

B.
Density functional theory data (PBE-GGA) for a relaxed Sc2TiSi2 crystal.

Properties
magnetization: 0.00 μB per formula unit
DOS at the Fermi energy: 13.29 states/eV per cell

a b c (Å): 3.392 3.392 17.249
angles (deg): 90.00 90.00 90.00
Fractional coordinates of all 10 atoms:
Sc 0.000 0.000 0.116
Sc 0.000 0.000 0.884
Sc 0.500 0.500 0.384
Sc 0.500 0.500 0.616
Ti 0.000 0.000 0.500
Ti 0.500 0.500 0.000
Si 0.000 0.500 0.250
Si 0.000 0.500 0.750
Si 0.500 0.000 0.250
Si 0.500 0.000 0.750

***

Need the numbers? Relative energies in eV/atom: A 0.000; B 0.696.

***

A.
Density functional theory data (PBE-GGA) for a relaxed ScTlSi2 crystal.

Properties
magnetization: 0.00 μB per formula unit
DOS at the Fermi energy: 2.19 states/eV per cell

a b c (Å): 4.133 4.143 8.932
angles (deg): 90.00 90.00 90.00
Fractional coordinates of all 8 atoms:
Sc 0.000 0.000 0.000
Sc 0.500 0.500 0.500
Tl 0.000 0.000 0.500
Tl 0.500 0.500 0.000
Si 0.000 0.500 0.250
Si 0.000 0.500 0.750
Si 0.500 0.000 0.250
Si 0.500 0.000 0.750

***

B.
Density functional theory data (PBE-GGA) for a relaxed ScTlSi2 crystal.

Properties
magnetization: 0.00 μB per formula unit
DOS at the Fermi energy: 2.52 states/eV per cell

a b c (Å): 3.168 3.168 8.403
angles (deg): 90.00 90.00 90.00
Fractional coordinates of all 4 atoms:
Sc 0.000 0.000 0.000
Tl 0.000 0.000 0.500
Si 0.500 0.500 0.210
Si 0.500 0.500 0.790

***

Need the numbers? Relative energies in eV/atom: A 0.000; B 0.052.

***

A.
Density functional theory data (PBE-GGA) for a relaxed ScTlSi crystal.

Properties
magnetization: 0.00 μB per formula unit
DOS at the Fermi energy: 3.98 states/eV per cell

a b c (Å): 11.984 11.984 11.984
angles (deg): 17.46 17.46 17.46
Fractional coordinates of all 6 atoms:
Sc 0.101 0.101 0.101
Sc 0.899 0.899 0.899
Tl 0.367 0.367 0.367
Tl 0.633 0.633 0.633
Si 0.182 0.182 0.182
Si 0.818 0.818 0.818

***

B.
Density functional theory data (PBE-GGA) for a relaxed ScTlSi crystal.

Properties
magnetization: 0.00 μB per formula unit
DOS at the Fermi energy: 12.92 states/eV per cell

a b c (Å): 6.567 6.567 6.567
angles (deg): 90.00 90.00 90.00
Fractional coordinates of all 12 atoms:
Sc 0.000 0.000 0.000
Sc 0.000 0.500 0.500
Sc 0.500 0.000 0.500
Sc 0.500 0.500 0.000
Tl 0.000 0.000 0.500
Tl 0.000 0.500 0.000
Tl 0.500 0.000 0.000
Tl 0.500 0.500 0.500
Si 0.250 0.250 0.250
Si 0.250 0.750 0.750
Si 0.750 0.250 0.750
Si 0.750 0.750 0.250

***

Need the numbers? Relative energies in eV/atom: A 0.000; B 0.344.

***

A.
Density functional theory data (PBE-GGA) for a relaxed ScTlSi crystal.

Properties
magnetization: 0.00 μB per formula unit
DOS at the Fermi energy: 3.54 states/eV per cell

a b c (Å): 3.259 3.259 7.193
angles (deg): 90.00 90.00 120.00
Fractional coordinates of all 3 atoms:
Sc 0.000 0.000 0.000
Tl 0.333 0.667 0.638
Si 0.667 0.333 0.293

***

B.
Density functional theory data (PBE-GGA) for a relaxed ScTlSi crystal.

Properties
magnetization: 0.00 μB per formula unit
DOS at the Fermi energy: 4.62 states/eV per cell

a b c (Å): 3.358 3.358 11.506
angles (deg): 90.00 90.00 90.00
Fractional coordinates of all 6 atoms:
Sc 0.000 0.000 0.000
Sc 0.500 0.500 0.500
Tl 0.000 0.000 0.700
Tl 0.500 0.500 0.200
Si 0.000 0.000 0.372
Si 0.500 0.500 0.872

***

Need the numbers? Relative energies in eV/atom: A 0.163; B 0.000.

***

A.
Density functional theory data (PBE-GGA) for a relaxed ScTlSi crystal.

Properties
magnetization: 0.00 μB per formula unit
DOS at the Fermi energy: 5.72 states/eV per cell

a b c (Å): 4.241 5.386 11.384
angles (deg): 90.00 90.00 90.00
Fractional coordinates of all 12 atoms:
Sc 0.000 0.000 0.000
Sc 0.000 0.500 0.500
Sc 0.500 0.000 0.500
Sc 0.500 0.500 0.000
Tl 0.000 0.000 0.697
Tl 0.000 0.500 0.197
Tl 0.500 0.000 0.197
Tl 0.500 0.500 0.697
Si 0.000 0.000 0.363
Si 0.000 0.500 0.863
Si 0.500 0.000 0.863
Si 0.500 0.500 0.363

***

B.
Density functional theory data (PBE-GGA) for a relaxed ScTlSi crystal.

Properties
magnetization: 0.00 μB per formula unit
DOS at the Fermi energy: 0.80 states/eV per cell

a b c (Å): 4.159 4.159 4.548
angles (deg): 90.00 90.00 120.00
Fractional coordinates of all 3 atoms:
Sc 0.000 0.000 0.000
Tl 0.333 0.667 0.573
Si 0.667 0.333 0.277

***

Need the numbers? Relative energies in eV/atom: A 0.038; B 0.000.

***

A.
Density functional theory data (PBE-GGA) for a relaxed Sc3TlSi crystal.

Properties
magnetization: 0.00 μB per formula unit
DOS at the Fermi energy: 0.54 states/eV per cell

a b c (Å): 5.004 5.004 5.004
angles (deg): 90.00 90.00 90.00
Fractional coordinates of all 5 atoms:
Sc 0.000 0.000 0.500
Sc 0.000 0.500 0.000
Sc 0.500 0.000 0.000
Tl 0.500 0.500 0.500
Si 0.000 0.000 0.000

***

B.
Density functional theory data (PBE-GGA) for a relaxed Sc3TlSi crystal.

Properties
magnetization: 0.00 μB per formula unit
DOS at the Fermi energy: 0.93 states/eV per cell

a b c (Å): 5.264 5.264 5.264
angles (deg): 90.00 90.00 90.00
Fractional coordinates of all 5 atoms:
Sc 0.000 0.000 0.500
Sc 0.000 0.500 0.000
Sc 0.500 0.000 0.000
Tl 0.000 0.000 0.000
Si 0.500 0.500 0.500

***

Need the numbers? Relative energies in eV/atom: A 0.000; B 0.827.

***

A.
Density functional theory data (PBE-GGA) for a relaxed ScTlSi3 crystal.

Properties
magnetization: 0.00 μB per formula unit
DOS at the Fermi energy: 5.11 states/eV per cell

a b c (Å): 5.112 5.112 5.112
angles (deg): 90.00 90.00 90.00
Fractional coordinates of all 5 atoms:
Sc 0.000 0.000 0.000
Tl 0.500 0.500 0.500
Si 0.000 0.500 0.500
Si 0.500 0.000 0.500
Si 0.500 0.500 0.000

***

B.
Density functional theory data (PBE-GGA) for a relaxed ScTlSi3 crystal.

Properties
magnetization: 0.00 μB per formula unit
DOS at the Fermi energy: 2.67 states/eV per cell

a b c (Å): 5.098 5.098 5.098
angles (deg): 90.00 90.00 90.00
Fractional coordinates of all 5 atoms:
Sc 0.000 0.000 0.000
Tl 0.500 0.500 0.500
Si 0.000 0.000 0.500
Si 0.000 0.500 0.000
Si 0.500 0.000 0.000

***

Need the numbers? Relative energies in eV/atom: A 0.576; B 0.000.

***

A.
Density functional theory data (PBE-GGA) for a relaxed TmSc2Si crystal.

Properties
magnetization: 0.66 μB per formula unit
DOS at the Fermi energy: 4.88 states/eV per cell

a b c (Å): 4.379 4.379 4.420
angles (deg): 90.00 90.00 90.00
Fractional coordinates of all 4 atoms:
Tm 0.000 0.000 0.000
Sc 0.000 0.500 0.500
Sc 0.500 0.000 0.500
Si 0.500 0.500 0.000

***

B.
Density functional theory data (PBE-GGA) for a relaxed TmSc2Si crystal.

Properties
magnetization: 0.00 μB per formula unit
DOS at the Fermi energy: 17.26 states/eV per cell

a b c (Å): 3.380 3.380 28.616
angles (deg): 90.00 90.00 120.00
Fractional coordinates of all 12 atoms:
Tm 0.000 0.000 0.000
Tm 0.333 0.667 0.667
Tm 0.667 0.333 0.333
Sc 0.000 0.000 0.234
Sc 0.000 0.000 0.766
Sc 0.333 0.667 0.433
Sc 0.333 0.667 0.900
Sc 0.667 0.333 0.100
Sc 0.667 0.333 0.567
Si 0.000 0.000 0.500
Si 0.333 0.667 0.167
Si 0.667 0.333 0.833

***

Need the numbers? Relative energies in eV/atom: A 0.000; B 0.172.

***

A.
Density functional theory data (PBE-GGA) for a relaxed ScV3Si crystal.

Properties
magnetization: 0.00 μB per formula unit
DOS at the Fermi energy: 7.87 states/eV per cell

a b c (Å): 4.471 4.471 4.471
angles (deg): 90.00 90.00 90.00
Fractional coordinates of all 5 atoms:
Sc 0.000 0.000 0.000
V 0.000 0.500 0.500
V 0.500 0.000 0.500
V 0.500 0.500 0.000
Si 0.500 0.500 0.500

***

B.
Density functional theory data (PBE-GGA) for a relaxed ScV3Si crystal.

Properties
magnetization: 0.00 μB per formula unit
DOS at the Fermi energy: 6.52 states/eV per cell

a b c (Å): 4.378 4.378 4.378
angles (deg): 90.00 90.00 90.00
Fractional coordinates of all 5 atoms:
Sc 0.000 0.000 0.000
V 0.000 0.000 0.500
V 0.000 0.500 0.000
V 0.500 0.000 0.000
Si 0.500 0.500 0.500

***

Need the numbers? Relative energies in eV/atom: A 0.000; B 1.134.

***

A.
Density functional theory data (PBE-GGA) for a relaxed Sc3SiW crystal.

Properties
magnetization: 0.00 μB per formula unit
DOS at the Fermi energy: 4.03 states/eV per cell

a b c (Å): 4.998 4.998 4.998
angles (deg): 90.00 90.00 90.00
Fractional coordinates of all 5 atoms:
Sc 0.000 0.000 0.500
Sc 0.000 0.500 0.000
Sc 0.500 0.000 0.000
Si 0.500 0.500 0.500
W 0.000 0.000 0.000

***

B.
Density functional theory data (PBE-GGA) for a relaxed Sc3SiW crystal.

Properties
magnetization: 2.67 μB per formula unit
DOS at the Fermi energy: 7.30 states/eV per cell

a b c (Å): 4.918 4.918 4.918
angles (deg): 90.00 90.00 90.00
Fractional coordinates of all 5 atoms:
Sc 0.000 0.000 0.500
Sc 0.000 0.500 0.000
Sc 0.500 0.000 0.000
Si 0.000 0.000 0.000
W 0.500 0.500 0.500

***

Need the numbers? Relative energies in eV/atom: A 0.007; B 0.000.

***

A.
Density functional theory data (PBE-GGA) for a relaxed ScSiW2 crystal.

Properties
magnetization: 0.00 μB per formula unit
DOS at the Fermi energy: 3.07 states/eV per cell

a b c (Å): 2.920 4.488 5.184
angles (deg): 90.00 100.43 90.00
Fractional coordinates of all 4 atoms:
Sc 0.000 0.000 0.000
Si 0.582 0.500 0.219
W 0.302 0.500 0.694
W 0.568 0.000 0.497

***

B.
Density functional theory data (PBE-GGA) for a relaxed ScSiW2 crystal.

Properties
magnetization: 0.00 μB per formula unit
DOS at the Fermi energy: 4.86 states/eV per cell

a b c (Å): 3.398 4.463 8.648
angles (deg): 90.00 90.00 90.00
Fractional coordinates of all 8 atoms:
Sc 0.000 0.000 0.000
Sc 0.500 0.500 0.500
Si 0.000 0.500 0.768
Si 0.500 0.000 0.268
W 0.000 0.000 0.510
W 0.000 0.500 0.240
W 0.500 0.000 0.740
W 0.500 0.500 0.010

***

Need the numbers? Relative energies in eV/atom: A 0.000; B 0.018.

***

A.
Density functional theory data (PBE-GGA) for a relaxed ScSi3W crystal.

Properties
magnetization: 0.00 μB per formula unit
DOS at the Fermi energy: 6.58 states/eV per cell

a b c (Å): 4.654 4.654 4.654
angles (deg): 90.00 90.00 90.00
Fractional coordinates of all 5 atoms:
Sc 0.000 0.000 0.000
Si 0.000 0.000 0.500
Si 0.000 0.500 0.000
Si 0.500 0.000 0.000
W 0.500 0.500 0.500

***

B.
Density functional theory data (PBE-GGA) for a relaxed ScSi3W crystal.

Properties
magnetization: 0.00 μB per formula unit
DOS at the Fermi energy: 3.70 states/eV per cell

a b c (Å): 4.711 4.711 4.711
angles (deg): 90.00 90.00 90.00
Fractional coordinates of all 5 atoms:
Sc 0.000 0.000 0.000
Si 0.000 0.500 0.500
Si 0.500 0.000 0.500
Si 0.500 0.500 0.000
W 0.500 0.500 0.500

***

Need the numbers? Relative energies in eV/atom: A 1.340; B 0.000.